1.
Here is a relaxed structure of K2Ir from Alexandria via LeMat-Bulk. Energies are from PBE.

a = 5.5972 Å, b = 5.5972 Å, c = 2.7631 Å
α = 90.00°, β = 90.00°, γ = 120.00°
With the nearest neighbours (Å) after each atom.
Atoms (fractional coordinates):
K 0.3333 0.6667 0.0000  2 K 2.76
K 0.6667 0.3333 0.0000  2 K 2.76
Ir 0.0000 0.0000 0.5000  2 Ir 2.76

Computed properties:
The formation enthalpy at 0 K comes out at 710 meV per atom.

=====

2.
Here is a relaxed structure of KIr4 from Alexandria via LeMat-Bulk. Energies are from PBE.

a = 4.5739 Å, b = 4.5739 Å, c = 4.5739 Å
α = 90.00°, β = 90.00°, γ = 90.00°
With the nearest neighbours (Å) after each atom.
Atoms (fractional coordinates):
K 0.0000 0.0000 0.0000  6 Ir 2.29
Ir 0.0000 0.0000 0.5000  2 K 2.29
Ir 0.0000 0.5000 0.0000  2 K 2.29
Ir 0.5000 0.0000 0.0000  2 K 2.29
Ir 0.5000 0.5000 0.5000  12 Ir 3.23

Computed properties:
The formation enthalpy at 0 K comes out at 3464 meV per atom. For the relative energy among the computed polymorphs, the calculation gives 2.873 eV per atom.

=====

3.
Here is a relaxed structure of K3Ir2 from Alexandria via LeMat-Bulk. Energies are from PBE.

a = 6.6247 Å, b = 6.6247 Å, c = 6.6247 Å
α = 49.97°, β = 49.97°, γ = 49.97°
With the nearest neighbours (Å) after each atom.
Atoms (fractional coordinates):
K 0.0000 0.0000 0.0000  6 Ir 3.66, 8 K 3.72-3.83
K 0.2146 0.2146 0.2146  3 Ir 3.25, 3 K 3.63
K 0.7854 0.7854 0.7854  3 Ir 3.25, 3 K 3.63
Ir 0.4321 0.4321 0.4321  1 Ir 2.36
Ir 0.5679 0.5679 0.5679  1 Ir 2.36

Computed properties:
The formation enthalpy at 0 K comes out at 830 meV per atom. For the relative energy among the computed polymorphs, the calculation gives 0.000 eV per atom.

=====

4.
Here is a relaxed structure of KIr2 from Alexandria via LeMat-Bulk. Energies are from PBE.

a = 4.8549 Å, b = 4.8549 Å, c = 2.7019 Å
α = 90.00°, β = 90.00°, γ = 120.00°
With the nearest neighbours (Å) after each atom.
Atoms (fractional coordinates):
K 0.0000 0.0000 0.0000  2 K 2.70
Ir 0.3333 0.6667 0.5000  5 Ir 2.70-2.80
Ir 0.6667 0.3333 0.5000  5 Ir 2.70-2.80

Computed properties:
The formation enthalpy at 0 K comes out at 1095 meV per atom.

=====

5.
Here is a relaxed structure of KIr4 from Alexandria via LeMat-Bulk. Energies are from PBE.

a = 5.0023 Å, b = 5.0023 Å, c = 5.0023 Å
α = 109.47°, β = 109.47°, γ = 109.47°
With the nearest neighbours (Å) after each atom.
Atoms (fractional coordinates):
K 0.0000 0.0000 0.0000  8 Ir 2.50
Ir 0.0000 0.0000 0.5000  2 K 2.50
Ir 0.0000 0.5000 0.0000  2 K 2.50
Ir 0.5000 0.0000 0.0000  2 K 2.50
Ir 0.5000 0.5000 0.5000  2 K 2.50

Computed properties:
The formation enthalpy at 0 K comes out at 2686 meV per atom. For the relative energy among the computed polymorphs, the calculation gives 2.094 eV per atom.

=====

6.
Here is a relaxed structure of KIr5 from Alexandria via LeMat-Bulk. Energies are from PBE.

a = 6.4487 Å, b = 6.4487 Å, c = 3.9685 Å
α = 90.00°, β = 90.00°, γ = 143.76°
With the nearest neighbours (Å) after each atom.
Atoms (fractional coordinates):
K 0.0000 0.0000 0.0000  12 Ir 2.82-2.98
Ir 0.1775 0.8225 0.5000  10 Ir 2.65-2.96, 2 K 2.94
Ir 0.3206 0.6794 0.0000  10 Ir 2.65-2.96
Ir 0.5000 0.5000 0.5000  4 K 2.82, 8 Ir 2.96
Ir 0.6794 0.3206 0.0000  10 Ir 2.65-2.96
Ir 0.8225 0.1775 0.5000  10 Ir 2.65-2.96, 2 K 2.94

Computed properties:
The formation enthalpy at 0 K comes out at 818 meV per atom. For the relative energy among the computed polymorphs, the calculation gives 0.479 eV per atom.